Record 1
GGA-PBE La2Tb3Ho5, optimized geometry; volume = 33.14 Å³ per atom; ΔH_f (0 K) = 18.5 kJ/mol of atoms; space group = No. 15
1.0
-3.451 8.267 -2.752
-9.304 -0.393 -0.912
5.525 -1.717 9.569
Ho Tb La
10 6 4
Direct
0.523 0.273 0.545
0.477 0.727 0.455
0.972 0.222 0.444
0.731 0.481 0.961
0.651 0.892 0.263
0.112 0.371 0.263
0.028 0.778 0.556
0.888 0.629 0.737
0.269 0.519 0.039
0.349 0.108 0.737
0.035 0.769 0.256
0.721 0.487 0.256
0.226 0.976 0.951
0.774 0.024 0.049
0.965 0.231 0.744
0.279 0.513 0.744
0.231 0.967 0.246
0.769 0.033 0.754
0.515 0.278 0.246
0.485 0.722 0.754

---

Record 2
GGA-PBE La3Tb7Ho, optimized geometry; volume = 35.18 Å³ per atom; ΔH_f (0 K) = 16.4 kJ/mol of atoms; space group = No. 156
1.0
8.798 0.000 0.000
0.000 7.126 0.000
0.000 -3.563 6.172
Tb Ho La
7 1 3
Direct
0.123 0.167 0.335
0.123 0.167 0.833
0.123 0.665 0.833
0.124 0.667 0.333
0.444 0.335 0.167
0.444 0.833 0.665
0.444 0.833 0.167
0.442 0.333 0.667
0.783 0.500 0.000
0.783 0.500 0.500
0.783 0.000 0.500

---

Record 3
GGA-PBE La7TbHo2, optimized geometry; volume = 37.05 Å³ per atom; ΔH_f (0 K) = 32.0 kJ/mol of atoms; space group = No. 65
1.0
3.537 0.000 0.000
0.000 10.152 -2.775
0.000 -0.670 10.503
La Ho Tb
7 2 1
Direct
0.500 0.500 0.500
0.500 0.125 0.385
0.500 0.385 0.125
0.500 0.875 0.615
0.000 0.680 0.320
0.000 0.320 0.680
0.500 0.615 0.875
0.500 0.835 0.165
0.500 0.165 0.835
0.000 0.000 0.000

---

Record 4
GGA-PBE LaTb7Ho3, optimized geometry; volume = 33.00 Å³ per atom; ΔH_f (0 K) = 13.2 kJ/mol of atoms; space group = No. 10
1.0
-4.066 7.952 0.165
-7.336 -6.623 0.050
2.490 -2.727 4.182
Tb Ho La
7 3 1
Direct
0.171 0.357 0.671
0.355 0.711 0.855
0.829 0.643 0.329
0.500 0.000 0.500
0.645 0.289 0.145
0.075 0.168 0.075
0.925 0.832 0.925
0.777 0.997 0.276
0.000 0.500 0.000
0.223 0.003 0.724
0.500 0.500 0.500

---

Record 5
GGA-PBE La2Tb7Ho, optimized geometry; volume = 32.93 Å³ per atom; ΔH_f (0 K) = 2.2 kJ/mol of atoms; space group = No. 2
1.0
-4.199 0.389 2.855
5.713 -6.691 0.259
2.228 6.078 6.990
Tb Ho La
7 1 2
Direct
0.700 0.297 0.195
0.796 0.197 0.802
0.500 0.500 0.000
0.100 0.901 0.603
0.900 0.099 0.397
0.300 0.703 0.805
0.204 0.803 0.198
0.000 0.000 0.000
0.403 0.602 0.397
0.597 0.398 0.603

---

Record 6
GGA-PBE La3Tb7Ho, optimized geometry; volume = 34.05 Å³ per atom; ΔH_f (0 K) = 11.5 kJ/mol of atoms; space group = No. 2
1.0
-1.841 -6.483 0.609
6.370 -3.792 -4.538
4.569 -0.201 4.739
Tb La Ho
7 3 1
Direct
0.730 0.577 0.988
0.774 0.212 0.285
0.709 0.853 0.564
0.270 0.423 0.012
0.291 0.147 0.436
0.226 0.788 0.715
0.000 0.500 0.500
0.060 0.833 0.193
0.500 0.000 0.000
0.940 0.167 0.807
0.500 0.500 0.500

---

Record 7
GGA-PBE La14TbHo, optimized geometry; volume = 36.09 Å³ per atom; ΔH_f (0 K) = 7.6 kJ/mol of atoms; space group = No. 38
1.0
-5.750 -0.996 -4.121
1.805 -4.600 -5.159
-3.374 -9.057 6.895
La Ho Tb
14 1 1
Direct
0.677 0.893 0.745
0.107 0.323 0.255
0.107 0.323 0.745
0.384 0.152 0.000
0.397 0.185 0.500
0.848 0.616 0.000
0.864 0.136 0.500
0.677 0.893 0.255
0.295 0.705 0.500
0.177 0.823 0.756
0.612 0.388 0.236
0.815 0.603 0.500
0.612 0.388 0.764
0.177 0.823 0.244
0.346 0.654 0.000
0.906 0.094 0.000

---

Record 8
GGA-PBE La6TbHo12, optimized geometry; volume = 33.54 Å³ per atom; ΔH_f (0 K) = 12.7 kJ/mol of atoms; space group = No. 166
1.0
-8.083 -2.767 -1.870
-1.329 -5.702 6.497
-4.722 4.870 5.520
Ho La Tb
12 6 1
Direct
0.139 0.485 0.140
0.140 0.139 0.485
0.487 0.805 0.487
0.861 0.515 0.860
0.485 0.140 0.139
0.513 0.513 0.195
0.860 0.861 0.515
0.515 0.860 0.861
0.805 0.487 0.487
0.195 0.513 0.513
0.513 0.195 0.513
0.487 0.487 0.805
0.836 0.233 0.233
0.767 0.767 0.164
0.164 0.767 0.767
0.233 0.836 0.233
0.233 0.233 0.836
0.767 0.164 0.767
0.000 0.000 0.000

---

Q: The highest volume belongs to which entry?
A: La7TbHo2